Compound: CsGdFeTe3
Source: OQMD via LeMat-Bulk
Functional: GGA-PBE
Structure: optimized geometry

Unit cell a=10.0385 b=4.3494 c=11.5012 alpha=90.00 beta=113.91 gamma=90.00
With the nearest neighbours (Å) after each atom.
Fractional positions:
Cs1 0.2483 0.2500 0.2159  6 Te 3.77-3.94
Cs2 0.7517 0.7500 0.7841  6 Te 3.77-3.94
Gd1 0.1772 0.7500 0.6433  6 Te 3.05-3.18
Gd2 0.8228 0.2500 0.3567  6 Te 3.05-3.18
Fe1 0.4349 0.2500 0.9206  4 Te 2.63-2.74, 2 Fe 2.80
Fe2 0.5651 0.7500 0.0794  4 Te 2.63-2.74, 2 Fe 2.80
Te1 0.0411 0.7500 0.3531  3 Gd 3.05-3.10
Te2 0.2823 0.7500 0.9440  3 Fe 2.63-2.74
Te3 0.4115 0.2500 0.6821  1 Fe 2.66
Te4 0.5885 0.7500 0.3179  1 Fe 2.66
Te5 0.7177 0.2500 0.0560  3 Fe 2.63-2.74
Te6 0.9589 0.2500 0.6469  3 Gd 3.05-3.10

* crystal system: monoclinic
* relative energy among the computed polymorphs: 6.6 meV per atom
* spin magnetization: 0.636 μB/atom
* final energy: -4.7706 eV/atom
* V: 459 Å³ per cell
* SG: P2_1/m